Below is a relaxed TlFe2Pt crystal, with properties calculated at the PBEsol level.

Calculated values
The density of states at the Fermi level is 0.649 states/eV/atom. The value obtained for the uncorrected energy is -6.58 eV/atom. As for the offset from the most stable computed form: 0.0851 eV/atom. The volume is 60.6 Å³/cell.

Geometry as CIF:
```
data_TlFe2Pt
_cell_length_a 2.812
_cell_length_b 2.812
_cell_length_c 7.668
_cell_angle_alpha 90.00
_cell_angle_beta 90.00
_cell_angle_gamma 90.00
_symmetry_space_group_name_H-M 'P 4/m m m'
_symmetry_Int_Tables_number 123
_symmetry_space_group_name_Hall '-P 4 2'
loop_
_atom_site_label
_atom_site_type_symbol
_atom_site_fract_x
_atom_site_fract_y
_atom_site_fract_z
_atom_site_occupancy
Tl1 Tl 0.000 0.000 0.000 1
Fe1 Fe 0.500 0.500 0.273 1
Pt1 Pt 0.000 0.000 0.500 1
```



Below is a relaxed Sr2CO crystal, with properties calculated at the PBEsol level.

Calculated values
As for the uncorrected formation energy: -532 meV per atom. The density of states at the Fermi level is 0.272 states/eV/atom. The value obtained for the uncorrected energy is -5.18 eV/atom. As for the offset from the most stable computed form: 0.0000 eV/atom. The volume is 346.4 Å³/cell.

Geometry as CIF:
```
data_Sr2CO
_cell_length_a 6.530
_cell_length_b 6.530
_cell_length_c 8.123
_cell_angle_alpha 90.00
_cell_angle_beta 90.00
_cell_angle_gamma 90.00
_symmetry_space_group_name_H-M 'I -4 2 d'
_symmetry_Int_Tables_number 122
_symmetry_space_group_name_Hall 'I -4 2bw'
loop_
_atom_site_label
_atom_site_type_symbol
_atom_site_fract_x
_atom_site_fract_y
_atom_site_fract_z
_atom_site_occupancy
Sr1 Sr 0.217 0.750 0.125 1
C1 C 0.000 0.000 0.500 1
O1 O 0.000 0.000 0.000 1
```



Below is a relaxed KAlSb crystal, with properties calculated at the PBEsol level.

Calculated values
As for the uncorrected formation energy: 610 meV per atom. The density of states at the Fermi level is 0.611 states/eV/atom. The value obtained for the uncorrected energy is -2.65 eV/atom. As for the offset from the most stable computed form: 0.6099 eV/atom. The volume is 384.4 Å³/cell.

Geometry as CIF:
```
data_KAlSb
_cell_length_a 7.271
_cell_length_b 7.271
_cell_length_c 7.271
_cell_angle_alpha 90.00
_cell_angle_beta 90.00
_cell_angle_gamma 90.00
_symmetry_space_group_name_H-M 'F -4 3 m'
_symmetry_Int_Tables_number 216
_symmetry_space_group_name_Hall 'F -4 2 3'
loop_
_atom_site_label
_atom_site_type_symbol
_atom_site_fract_x
_atom_site_fract_y
_atom_site_fract_z
_atom_site_occupancy
K1 K 0.000 0.000 0.000 1
Al1 Al 0.250 0.250 0.250 1
Sb1 Sb 0.250 0.250 0.750 1
```



Below is a relaxed LaSbIr crystal, with properties calculated at the PBEsol level.

Calculated values
As for the uncorrected formation energy: -889 meV per atom. The density of states at the Fermi level is 0.731 states/eV/atom. The value obtained for the uncorrected energy is -7.46 eV/atom. The volume is 271.1 Å³/cell.

Geometry as CIF:
```
data_LaSbIr
_cell_length_a 7.436
_cell_length_b 4.596
_cell_length_c 7.933
_cell_angle_alpha 90.00
_cell_angle_beta 90.00
_cell_angle_gamma 90.00
_symmetry_space_group_name_H-M 'P n m a'
_symmetry_Int_Tables_number 62
_symmetry_space_group_name_Hall '-P 2ac 2n'
loop_
_atom_site_label
_atom_site_type_symbol
_atom_site_fract_x
_atom_site_fract_y
_atom_site_fract_z
_atom_site_occupancy
La1 La 0.017 0.250 0.190 1
Sb1 Sb 0.173 0.250 0.585 1
Ir1 Ir 0.202 0.750 0.408 1
```